Record 1
The following is a PBE calculation of a geometry-optimized Tl4I3N2 structure, from Alexandria.

Summary:
Space-group type ... C2/c (15)
Formation energy (no corrections) ... 0.28 eV per atom

POSCAR file:
```
Tl4I3N2
1.0
6.679 -0.061 -0.571
-0.300 8.114 -4.368
0.188 0.853 11.304
I Tl N
6 8 4
Direct
0.533 0.979 0.305
0.967 0.674 0.695
0.250 0.500 0.000
0.033 0.326 0.305
0.467 0.021 0.695
0.750 0.500 0.000
0.482 0.712 0.806
0.697 0.302 0.614
0.982 0.094 0.806
0.803 0.688 0.386
0.197 0.312 0.614
0.303 0.698 0.386
0.518 0.288 0.194
0.018 0.906 0.194
0.047 0.821 0.382
0.953 0.179 0.618
0.453 0.439 0.618
0.547 0.561 0.382
```

Record 2
The following is a PBE calculation of a geometry-optimized Hf2N2Cl structure, from Alexandria.

Summary:
Space-group type ... I4/mmm (139)
ΔE to the lowest computed polymorph ... 0.0000 eV/atom
Formation energy (no corrections) ... -1.24 eV per atom

POSCAR file:
```
Hf2N2Cl
1.0
4.166 0.000 0.000
0.000 4.166 0.000
2.083 2.083 5.098
N Cl Hf
2 1 2
Direct
0.303 0.303 0.395
0.697 0.697 0.605
0.000 0.000 0.000
0.750 0.250 0.500
0.250 0.750 0.500
```

Record 3
The following is a PBE calculation of a geometry-optimized Gd2HgAu structure, from Alexandria.

Summary:
Space-group type ... Fm-3m (225)
ΔE to the lowest computed polymorph ... 0.0138 eV/atom

POSCAR file:
```
Gd2HgAu
1.0
5.219 0.000 0.000
2.610 4.520 0.000
2.610 1.507 4.262
Gd Hg Au
2 1 1
Direct
0.250 0.250 0.250
0.750 0.750 0.750
0.000 0.000 0.000
0.500 0.500 0.500
```

Record 4
The following is a PBE calculation of a geometry-optimized Rb4Nd3SmSe8 structure, from Alexandria.

Summary:
Space-group type ... R-3m (166)
Formation energy (no corrections) ... -1.74 eV per atom

POSCAR file:
```
Rb4Nd3SmSe8
1.0
-6.708 -0.323 5.582
6.061 -0.913 7.230
0.993 6.918 -5.237
Se Sm Rb Nd
8 1 4 3
Direct
0.232 0.700 0.968
0.768 0.300 0.536
0.768 0.300 0.032
0.266 0.299 0.532
0.736 0.700 0.968
0.232 0.700 0.464
0.734 0.701 0.468
0.264 0.300 0.032
0.000 0.500 0.000
0.000 0.000 0.000
0.500 0.000 0.500
0.000 0.000 0.500
0.500 0.000 0.000
0.000 0.500 0.500
0.500 0.500 0.500
0.500 0.500 0.000
```

Record 5
The following is a PBE calculation of a geometry-optimized GdTmInCo structure, from Alexandria.

Summary:
Space-group type ... F-43m (216)
Uncorrected energy ... -7.2965 eV per atom

POSCAR file:
```
GdTmInCo
1.0
5.077 0.000 0.000
2.538 4.397 0.000
2.538 1.466 4.145
Co In Gd Tm
1 1 1 1
Direct
0.500 0.500 0.500
0.000 0.000 0.000
0.250 0.250 0.250
0.750 0.750 0.750
```

Record 6
The following is a PBE calculation of a geometry-optimized MnTl2Cr structure, from Alexandria.

Summary:
Space-group type ... P4mm (99)
ΔE to the lowest computed polymorph ... 0.0000 eV/atom

POSCAR file:
```
MnTl2Cr
1.0
-0.208 -3.178 0.137
2.784 -0.248 -1.532
4.002 0.051 7.264
Tl Mn Cr
2 1 1
Direct
0.000 0.000 0.952
0.500 0.500 0.294
0.500 0.500 0.696
0.000 0.000 0.558
```

Record 7
The following is a PBE calculation of a geometry-optimized GeINF2 structure, from Alexandria.

Summary:
Space-group type ... P4/mmm (123)
ΔE to the lowest computed polymorph ... 0.0000 eV/atom
Formation energy (no corrections) ... -0.29 eV per atom

POSCAR file:
```
GeINF2
1.0
3.999 0.000 0.000
0.000 3.999 0.000
0.000 0.000 4.634
N F Ge I
1 2 1 1
Direct
0.000 0.000 0.500
0.500 0.000 0.000
0.000 0.500 0.000
0.000 0.000 0.000
0.500 0.500 0.500
```

Record 8
The following is a PBE calculation of a geometry-optimized Rb2SbPbO4 structure, from Alexandria.

Summary:
Space-group type ... I-4 (82)
Formation energy (no corrections) ... -1.28 eV per atom

POSCAR file:
```
Rb2SbPbO4
1.0
-2.775 4.782 3.589
-3.386 -3.748 -4.234
1.969 -5.744 2.565
Pb O Rb Sb
1 4 2 1
Direct
0.500 0.250 0.750
0.373 0.833 0.769
0.064 0.231 0.605
0.627 0.395 0.460
0.936 0.540 0.167
0.500 0.750 0.250
0.000 0.000 0.000
0.000 0.500 0.500
```